*A*
The following is a DFT calculation (GGA-PBE) of a relaxed Ba4GeP4 crystal.

Lattice parameters (Å, degrees): 9.2559 9.2559 6.7570 90.00 90.00 90.00
With the nearest neighbours (Å) after each atom.
Space group P4_2/nmc (No. 137, origin choice 2)
Inequivalent atoms, fractional coordinates:
Ba  0.0182  0.2500  0.0687 x8  1 Ge 3.29, 6 P 3.30-3.51
Ge  0.2500  0.7500  0.2500 x2  4 P 2.41
P  0.0321  0.7500  0.4462 x8  1 Ge 2.41

=====

*B*
The following is a DFT calculation (GGA-PBE) of a relaxed Ba4GeP4 crystal.

Lattice parameters (Å, degrees): 13.2220 13.2220 13.2220 90.00 90.00 90.00
With the nearest neighbours (Å) after each atom.
Space group P-43n (No. 218)
Inequivalent atoms, fractional coordinates:
Ba  0.0951  0.1323  0.6450 x24  1 Ge 3.31, 6 P 3.31-3.41
Ba  0.1449  0.1449  0.1449 x8  1 Ge 3.32, 6 P 3.35-3.38
Ge  0.0000  0.0000  0.0000 x2  4 P 2.40
Ge  0.0000  0.5000  0.2500 x6  4 P 2.41
P  0.1037  0.3878  0.6510 x24  1 Ge 2.41
P  0.1046  0.1046  0.8954 x8  1 Ge 2.40

=====

Which is the most stable structure? *B* is the most stable.